No. 1
This record from OQMD describes PrTmAg after structural relaxation. The functional is PBE.

Cell: 4.9543 4.9543 4.9543 Å, 60.00 60.00 60.00°
Last column: nearest neighbours and their distance in Å.
Element x y z (fractional)
Ag (0.2500, 0.2500, 0.2500)  4 Tm 3.03
Pr (0.7500, 0.7500, 0.7500)  4 Tm 3.03
Tm (0.0000, 0.0000, 0.0000)  4 Pr 3.03, 4 Ag 3.03

Calculated values
* calculated total energy: -10.83 eV/f.u.
* formation energy: 9.59 kcal/mol of atoms


No. 2
This record from OQMD describes PrTm4Ag5 after structural relaxation. The functional is PBE.

Cell: 3.5941 3.5941 18.2408 Å, 90.00 90.00 90.00°
Last column: nearest neighbours and their distance in Å.
Element x y z (fractional)
Ag (0.5000, 0.5000, 0.1144)  4 Tm 3.05, 4 Pr 3.29
Ag (0.5000, 0.5000, 0.3043)  8 Tm 3.10-3.11, 1 Ag 3.46
Ag (0.5000, 0.5000, 0.5000)  8 Tm 3.10
Ag (0.5000, 0.5000, 0.6957)  8 Tm 3.10-3.11, 1 Ag 3.46
Ag (0.5000, 0.5000, 0.8856)  4 Tm 3.05, 4 Pr 3.29
Pr (0.0000, 0.0000, 0.0000)  8 Ag 3.29, 4 Pr 3.59
Tm (0.0000, 0.0000, 0.2073)  8 Ag 3.05-3.10
Tm (0.0000, 0.0000, 0.4022)  8 Ag 3.10-3.11
Tm (0.0000, 0.0000, 0.5978)  8 Ag 3.10-3.11
Tm (0.0000, 0.0000, 0.7927)  8 Ag 3.05-3.10

Calculated values
* calculated total energy: -40.11 eV/f.u.
* formation energy: -7.65 kcal/mol of atoms


No. 3
This record from OQMD describes Pr2ZnAg3 after structural relaxation. The functional is PBE.

Cell: 5.9496 5.9496 7.1989 Å, 127.04 127.04 47.46°
Last column: nearest neighbours and their distance in Å.
Element x y z (fractional)
Ag (0.1629, 0.1629, 0.2057)  3 Ag 2.82-2.84, 1 Zn 2.99
Ag (0.8453, 0.8453, 0.3816)  1 Zn 2.71, 2 Ag 2.82
Ag (0.8243, 0.8243, 0.7857)  2 Zn 2.71, 1 Ag 2.84
Pr (0.4669, 0.4669, 0.2154)  3 Zn 3.22-3.28, 9 Ag 3.24-3.45, 1 Pr 3.61
Pr (0.5319, 0.5319, 0.7847)  9 Ag 3.18-3.39, 3 Zn 3.32-3.39
Zn (0.1687, 0.1687, 0.6270)  4 Ag 2.71-2.99

Calculated values
* calculated total energy: -21.15 eV/f.u.
* formation energy: -7.14 kcal/mol of atoms


No. 4
This record from OQMD describes Pr2Zn15Ag2 after structural relaxation. The functional is PBE.

Cell: 6.8852 6.8852 6.8852 Å, 82.78 82.78 82.78°
Last column: nearest neighbours and their distance in Å.
Element x y z (fractional)
Ag (0.1054, 0.1054, 0.1054)  12 Zn 2.75-3.01, 1 Ag 2.81
Ag (0.8946, 0.8946, 0.8946)  12 Zn 2.75-3.01, 1 Ag 2.81
Pr (0.3409, 0.3409, 0.3409)  1 Ag 3.14, 18 Zn 3.22-3.51
Pr (0.6591, 0.6591, 0.6591)  1 Ag 3.14, 18 Zn 3.22-3.51
Zn (0.5000, 0.0000, 0.0000)  8 Zn 2.61-2.67, 2 Ag 2.75
Zn (0.7072, 0.2928, 0.0000)  8 Zn 2.61-2.78
Zn (0.0000, 0.5000, 0.0000)  8 Zn 2.61-2.67, 2 Ag 2.75
Zn (0.2928, 0.7072, 0.0000)  8 Zn 2.61-2.78
Zn (0.6492, 0.6492, 0.1612)  8 Zn 2.59-2.78, 1 Ag 2.87
Zn (0.7072, 0.0000, 0.2928)  8 Zn 2.61-2.78
Zn (0.0000, 0.7072, 0.2928)  8 Zn 2.61-2.78
Zn (0.8388, 0.3508, 0.3508)  8 Zn 2.59-2.78, 1 Ag 2.87
Zn (0.3508, 0.8388, 0.3508)  8 Zn 2.59-2.78, 1 Ag 2.87
Zn (0.0000, 0.0000, 0.5000)  8 Zn 2.61-2.67, 2 Ag 2.75
Zn (0.6492, 0.1612, 0.6492)  8 Zn 2.59-2.78, 1 Ag 2.87
Zn (0.1612, 0.6492, 0.6492)  8 Zn 2.59-2.78, 1 Ag 2.87
Zn (0.2928, 0.0000, 0.7072)  8 Zn 2.61-2.78
Zn (0.0000, 0.2928, 0.7072)  8 Zn 2.61-2.78
Zn (0.3508, 0.3508, 0.8388)  8 Zn 2.59-2.78, 1 Ag 2.87

Calculated values
* calculated total energy: -39.01 eV/f.u.
* formation energy: -5.87 kcal/mol of atoms


No. 5
This record from OQMD describes Pr3ZnAg4 after structural relaxation. The functional is PBE.

Cell: 5.7853 4.7602 7.3899 Å, 90.00 98.81 90.00°
Last column: nearest neighbours and their distance in Å.
Element x y z (fractional)
Ag (0.2075, 0.5000, 0.0479)  3 Ag 2.90-3.03, 5 Pr 3.06-3.20
Ag (0.5621, 0.0000, 0.4249)  2 Zn 2.88-2.93, 2 Ag 2.88, 3 Pr 3.15-3.19
Ag (0.2926, 0.5000, 0.4632)  2 Zn 2.75, 3 Ag 2.88-3.03
Ag (0.9190, 0.0000, 0.9907)  2 Ag 2.90, 1 Zn 2.94, 4 Pr 3.12-3.22
Pr (0.7311, 0.5000, 0.1981)  6 Ag 3.06-3.15, 2 Zn 3.24
Pr (0.8514, 0.5000, 0.6754)  7 Ag 3.18-3.37, 1 Pr 3.49, 2 Zn 3.51
Pr (0.3766, 0.0000, 0.8094)  7 Ag 3.14-3.47, 1 Zn 3.35
Zn (0.0597, 0.0000, 0.3903)  5 Ag 2.75-2.94

Calculated values
* calculated total energy: -28.50 eV/f.u.
* formation energy: -4.65 kcal/mol of atoms


No. 6
This record from OQMD describes PrZn2Ag2 after structural relaxation. The functional is PBE.

Cell: 6.5895 6.5895 6.5895 Å, 142.36 142.36 54.29°
Last column: nearest neighbours and their distance in Å.
Element x y z (fractional)
Ag (0.3838, 0.3838, 0.0000)  4 Zn 2.64, 1 Ag 2.73
Ag (0.6162, 0.6162, 0.0000)  4 Zn 2.64, 1 Ag 2.73
Pr (0.0000, 0.0000, 0.0000)  8 Ag 3.30, 8 Zn 3.62
Zn (0.7500, 0.2500, 0.5000)  4 Ag 2.64
Zn (0.2500, 0.7500, 0.5000)  4 Ag 2.64

Calculated values
* calculated total energy: -13.96 eV/f.u.
* formation energy: -4.65 kcal/mol of atoms


No. 7
This record from OQMD describes Pr3Zn2Ag after structural relaxation. The functional is PBE.

Cell: 3.7496 3.7496 11.0933 Å, 90.00 90.00 90.00°
Last column: nearest neighbours and their distance in Å.
Element x y z (fractional)
Ag (0.0000, 0.0000, 0.5000)  8 Pr 3.28
Pr (0.5000, 0.5000, 0.0000)  8 Zn 3.20
Pr (0.5000, 0.5000, 0.3253)  4 Zn 3.22, 4 Ag 3.28
Pr (0.5000, 0.5000, 0.6747)  4 Zn 3.22, 4 Ag 3.28
Zn (0.0000, 0.0000, 0.1608)  8 Pr 3.20-3.22, 1 Zn 3.57
Zn (0.0000, 0.0000, 0.8392)  8 Pr 3.20-3.22, 1 Zn 3.57

Calculated values
* calculated total energy: -21.49 eV/f.u.
* formation energy: -6.97 kcal/mol of atoms


No. 8
This record from OQMD describes PrZn3Ag4 after structural relaxation. The functional is PBE.

Cell: 5.6380 4.6016 6.1553 Å, 90.00 94.30 90.00°
Last column: nearest neighbours and their distance in Å.
Element x y z (fractional)
Ag (0.1172, 0.5000, 0.0061)  4 Zn 2.66-2.90, 3 Ag 2.82-2.96
Ag (0.7924, 0.0000, 0.0482)  6 Zn 2.77-3.05, 3 Ag 2.96-2.98
Ag (0.4018, 0.5000, 0.4022)  5 Zn 2.74-2.89, 3 Ag 2.81-2.82
Ag (0.6708, 0.0000, 0.5112)  5 Zn 2.77-3.02, 3 Ag 2.81-2.98, 2 Pr 2.94-3.04
Pr (0.1747, 0.0000, 0.6747)  7 Ag 2.94-3.27, 1 Zn 3.08
Zn (0.3275, 0.0000, 0.1657)  7 Ag 2.74-3.05
Zn (0.8871, 0.5000, 0.3681)  5 Ag 2.66-2.89
Zn (0.6286, 0.5000, 0.8238)  6 Ag 2.80-3.02

Calculated values
* calculated total energy: -20.38 eV/f.u.
* formation energy: -1.49 kcal/mol of atoms


No. 9
This record from OQMD describes AgPt after structural relaxation. The functional is PBE.

Cell: 2.8127 2.8127 4.7704 Å, 90.00 90.00 120.00°
Last column: nearest neighbours and their distance in Å.
Element x y z (fractional)
Ag (0.6667, 0.3333, 0.7500)  6 Ag 2.81, 6 Pt 2.89
Pt (0.3333, 0.6667, 0.2500)  6 Pt 2.81, 6 Ag 2.89

Calculated values
* calculated total energy: -8.95 eV/f.u.
* formation energy: -0.79 kcal/mol of atoms


No. 10
This record from OQMD describes AgPt after structural relaxation. The functional is PBE.

Cell: 4.2203 4.2203 4.2203 Å, 60.00 60.00 60.00°
Last column: nearest neighbours and their distance in Å.
Element x y z (fractional)
Ag (0.0000, 0.0000, 0.0000)  4 Pt 2.58
Pt (0.2500, 0.2500, 0.2500)  4 Ag 2.58

Calculated values
* calculated total energy: -6.31 eV/f.u.
* formation energy: 29.60 kcal/mol of atoms


No. 11
This record from OQMD describes AgPt after structural relaxation. The functional is PBE.

Cell: 3.7701 3.7701 3.7701 Å, 60.00 60.00 60.00°
Last column: nearest neighbours and their distance in Å.
Element x y z (fractional)
Ag (0.0000, 0.0000, 0.0000)  6 Pt 2.67
Pt (0.5000, 0.5000, 0.5000)  6 Ag 2.67

Calculated values
* calculated total energy: -7.56 eV/f.u.
* formation energy: 15.21 kcal/mol of atoms


No. 12
This record from OQMD describes Ag2Pt3 after structural relaxation. The functional is PBE.

Cell: 6.0986 6.0986 6.0986 Å, 67.36 67.36 67.36°
Last column: nearest neighbours and their distance in Å.
Element x y z (fractional)
Ag (0.0913, 0.0913, 0.0913)  1 Ag 2.56, 6 Pt 2.67-2.73
Ag (0.4087, 0.4087, 0.4087)  1 Ag 2.56, 6 Pt 2.67-2.73
Ag (0.5913, 0.5913, 0.5913)  1 Ag 2.56, 6 Pt 2.67-2.73
Ag (0.9087, 0.9087, 0.9087)  1 Ag 2.56, 6 Pt 2.67-2.73
Pt (0.2500, 0.4821, 0.0179)  4 Ag 2.67-2.73, 2 Pt 2.72
Pt (0.4821, 0.0179, 0.2500)  4 Ag 2.67-2.73, 2 Pt 2.72
Pt (0.0179, 0.2500, 0.4821)  4 Ag 2.67-2.73, 2 Pt 2.72
Pt (0.9821, 0.7500, 0.5179)  4 Ag 2.67-2.73, 2 Pt 2.72
Pt (0.5179, 0.9821, 0.7500)  4 Ag 2.67-2.73, 2 Pt 2.72
Pt (0.7500, 0.5179, 0.9821)  4 Ag 2.67-2.73, 2 Pt 2.72

Calculated values
* calculated total energy: -20.98 eV/f.u.
* formation energy: 13.08 kcal/mol of atoms


No. 13
This record from OQMD describes AgPt after structural relaxation. The functional is PBE.

Cell: 2.8200 2.8200 14.2777 Å, 90.00 90.00 120.00°
Last column: nearest neighbours and their distance in Å.
Element x y z (fractional)
Ag (0.0000, 0.0000, 0.0000)  6 Ag 2.82, 6 Pt 2.88
Ag (0.6667, 0.3333, 0.3334)  6 Ag 2.82, 6 Pt 2.88-2.89
Ag (0.3333, 0.6667, 0.6666)  6 Ag 2.82, 6 Pt 2.88-2.89
Pt (0.3333, 0.6667, 0.1665)  6 Pt 2.82, 6 Ag 2.88-2.89
Pt (0.0000, 0.0000, 0.5000)  6 Pt 2.82, 6 Ag 2.88
Pt (0.6667, 0.3333, 0.8335)  6 Pt 2.82, 6 Ag 2.88-2.89

Calculated values
* calculated total energy: -8.97 eV/f.u.
* formation energy: -1.08 kcal/mol of atoms


No. 14
This record from OQMD describes Pu2AgPt2 after structural relaxation. The functional is PBE.

Cell: 7.6515 7.6515 3.7857 Å, 90.00 90.00 90.00°
Last column: nearest neighbours and their distance in Å.
Element x y z (fractional)
Ag (0.0000, 0.0000, 0.0000)  4 Pt 2.98
Ag (0.5000, 0.5000, 0.0000)  4 Pt 2.98
Pt (0.6352, 0.1352, 0.0000)  6 Pu 2.86-3.00, 1 Pt 2.93, 2 Ag 2.98
Pt (0.1352, 0.3648, 0.0000)  6 Pu 2.86-3.00, 1 Pt 2.93, 2 Ag 2.98
Pt (0.8648, 0.6352, 0.0000)  6 Pu 2.86-3.00, 1 Pt 2.93, 2 Ag 2.98
Pt (0.3648, 0.8648, 0.0000)  6 Pu 2.86-3.00, 1 Pt 2.93, 2 Ag 2.98
Pu (0.3331, 0.1669, 0.5000)  6 Pt 2.86-3.00
Pu (0.8331, 0.3331, 0.5000)  6 Pt 2.86-3.00
Pu (0.1669, 0.6669, 0.5000)  6 Pt 2.86-3.00
Pu (0.6669, 0.8331, 0.5000)  6 Pt 2.86-3.00

Calculated values
* calculated total energy: -46.60 eV/f.u.
* formation energy: -15.74 kcal/mol of atoms


No. 15
This record from OQMD describes PuAgPt4 after structural relaxation. The functional is PBE.

Cell: 5.3458 5.3458 5.3458 Å, 60.00 60.00 60.00°
Last column: nearest neighbours and their distance in Å.
Element x y z (fractional)
Ag (0.7500, 0.7500, 0.7500)  12 Pt 3.13, 4 Pu 3.27
Pt (0.3753, 0.3753, 0.3753)  6 Pt 2.67-2.68
Pt (0.8740, 0.3753, 0.3753)  6 Pt 2.67-2.68
Pt (0.3753, 0.8740, 0.3753)  6 Pt 2.67-2.68
Pt (0.3753, 0.3753, 0.8740)  6 Pt 2.67-2.68
Pu (0.0000, 0.0000, 0.0000)  12 Pt 3.13, 4 Ag 3.27

Calculated values
* calculated total energy: -44.55 eV/f.u.
* formation energy: -12.96 kcal/mol of atoms


No. 16
This record from OQMD describes PuAgPt after structural relaxation. The functional is PBE.

Cell: 4.6947 4.6947 4.6947 Å, 60.00 60.00 60.00°
Last column: nearest neighbours and their distance in Å.
Element x y z (fractional)
Ag (0.2500, 0.2500, 0.2500)  4 Pt 2.87
Pt (0.0000, 0.0000, 0.0000)  4 Ag 2.87, 4 Pu 2.87
Pu (0.7500, 0.7500, 0.7500)  4 Pt 2.87

Calculated values
* calculated total energy: -24.01 eV/f.u.
* formation energy: -7.69 kcal/mol of atoms


No. 17
This record from OQMD describes RbAgPt after structural relaxation. The functional is PBE.

Cell: 4.9534 4.9534 4.9534 Å, 60.00 60.00 60.00°
Last column: nearest neighbours and their distance in Å.
Element x y z (fractional)
Ag (0.2500, 0.2500, 0.2500)  4 Pt 3.03
Pt (0.0000, 0.0000, 0.0000)  4 Ag 3.03, 4 Rb 3.03
Rb (0.7500, 0.7500, 0.7500)  4 Pt 3.03

Calculated values
* calculated total energy: -8.42 eV/f.u.


No. 18
This record from OQMD describes RbAgPt after structural relaxation. The functional is PBE.

Cell: 5.0503 5.0503 5.0503 Å, 60.00 60.00 60.00°
Last column: nearest neighbours and their distance in Å.
Element x y z (fractional)
Ag (0.2500, 0.2500, 0.2500)  4 Rb 3.09
Pt (0.7500, 0.7500, 0.7500)  4 Rb 3.09
Rb (0.0000, 0.0000, 0.0000)  4 Pt 3.09, 4 Ag 3.09

Calculated values
* calculated total energy: -6.73 eV/f.u.


No. 19
This record from OQMD describes RbAgPtS3 after structural relaxation. The functional is PBE.

Cell: 8.2419 3.8285 9.6434 Å, 90.00 108.65 90.00°
Last column: nearest neighbours and their distance in Å.
Element x y z (fractional)
Ag (0.5580, 0.2500, 0.1040)  4 S 2.50-2.79, 2 Ag 2.72
Ag (0.4420, 0.7500, 0.8960)  4 S 2.50-2.79, 2 Ag 2.72
Pt (0.8460, 0.7500, 0.3621)  6 S 2.39-2.46
Pt (0.1540, 0.2500, 0.6379)  6 S 2.39-2.46
Rb (0.2377, 0.7500, 0.1975)  5 S 3.37-3.64, 2 Ag 3.60
Rb (0.7623, 0.2500, 0.8025)  5 S 3.37-3.64, 2 Ag 3.60
S (0.7728, 0.7500, 0.0944)  1 Pt 2.46, 2 Ag 2.63
S (0.6649, 0.2500, 0.3773)  2 Pt 2.46, 1 Ag 2.50
S (0.0348, 0.2500, 0.3775)  3 Pt 2.39-2.44
S (0.9652, 0.7500, 0.6225)  3 Pt 2.39-2.44
S (0.3351, 0.7500, 0.6227)  2 Pt 2.46, 1 Ag 2.50
S (0.2272, 0.2500, 0.9056)  1 Pt 2.46, 2 Ag 2.63

Calculated values
* calculated total energy: -24.76 eV/f.u.


No. 20
This record from OQMD describes RbAgPtS3 after structural relaxation. The functional is PBE.

Cell: 7.8076 7.8076 10.2070 Å, 90.00 90.00 152.29°
Last column: nearest neighbours and their distance in Å.
Element x y z (fractional)
Ag (0.9249, 0.0751, 0.2500)  4 S 2.42-2.61
Ag (0.0751, 0.9249, 0.7500)  4 S 2.42-2.61
Pt (0.5000, 0.5000, 0.0000)  6 S 2.43-2.64
Pt (0.5000, 0.5000, 0.5000)  6 S 2.43-2.64
Rb (0.2294, 0.7706, 0.2500)  4 S 3.33-3.36, 2 Ag 3.50
Rb (0.7706, 0.2294, 0.7500)  4 S 3.33-3.36, 2 Ag 3.50
S (0.8978, 0.1022, 0.0164)  1 Ag 2.42, 2 Pt 2.43
S (0.5453, 0.4547, 0.2500)  2 Ag 2.61, 2 Pt 2.64
S (0.8978, 0.1022, 0.4836)  1 Ag 2.42, 2 Pt 2.43
S (0.1022, 0.8978, 0.5164)  1 Ag 2.42, 2 Pt 2.43
S (0.4547, 0.5453, 0.7500)  2 Ag 2.61, 2 Pt 2.64
S (0.1022, 0.8978, 0.9836)  1 Ag 2.42, 2 Pt 2.43

Calculated values
* calculated total energy: -24.18 eV/f.u.